Entry 1:
First-principles (PBE-GGA) data for an optimized crystal structure of Fe4Co3, as listed in the Alexandria database.

Output
space-group type	No. 139
distance to the lowest polymorph of the same formula	24.2	meV/atom
crystal system	tetragonal

Cell lengths 10.260, 10.260, 10.260 Å; angles 164.17, 164.17, 22.46 degrees
Each line ends with the local moment (μB).
Atoms (fractional coordinates):
Fe: 0.570 0.570 0.000  2.62
Co: 0.428 0.428 0.000  1.75
Fe: 0.285 0.285 0.000  2.65
Co: 0.001 0.001 0.000  1.75
Fe: 0.859 0.859 0.000  2.62
Co: 0.714 0.714 0.000  1.73
Fe: 0.143 0.143 0.000  2.65

Entry 2:
First-principles (PBE-GGA) data for an optimized crystal structure of Fe5Co3, as listed in the Alexandria database.

Output
space-group type	No. 3
distance to the lowest polymorph of the same formula	56.4	meV/atom
crystal system	monoclinic

Cell lengths 8.028, 2.466, 4.715 Å; angles 79.97, 90.00, 90.00 degrees
Each line ends with the local moment (μB).
Atoms (fractional coordinates):
Fe: 0.249 0.250 0.250  2.56
Fe: 0.501 0.004 0.999  2.52
Fe: 0.753 0.750 0.750  2.65
Co: 0.000 0.507 0.499  1.81
Co: 0.000 0.993 0.001  1.81
Fe: 0.247 0.750 0.750  2.57
Co: 0.750 0.250 0.250  1.79
Fe: 0.501 0.496 0.501  2.52

Entry 3:
First-principles (PBE-GGA) data for an optimized crystal structure of FeCo7, as listed in the Alexandria database.

Output
space-group type	No. 10
distance to the lowest polymorph of the same formula	9.2	meV/atom
crystal system	monoclinic

Cell lengths 3.534, 2.491, 10.300 Å; angles 104.06, 90.00, 90.00 degrees
Each line ends with the local moment (μB).
Atoms (fractional coordinates):
Co: 0.500 0.877 0.377  1.65
Fe: 0.500 0.625 0.125  2.57
Co: 0.000 0.750 0.749  1.64
Co: 0.000 0.500 0.501  1.64
Co: 0.500 0.125 0.625  1.66
Co: 0.500 0.373 0.873  1.65
Co: 0.000 0.996 0.996  1.59
Co: 0.000 0.254 0.254  1.59

Entry 4:
First-principles (PBE-GGA) data for an optimized crystal structure of Fe4Co3, as listed in the Alexandria database.

Output
space-group type	No. 12
distance to the lowest polymorph of the same formula	9.0	meV/atom
crystal system	monoclinic

Cell lengths 4.733, 4.733, 6.371 Å; angles 82.15, 82.15, 34.77 degrees
Each line ends with the local moment (μB).
Atoms (fractional coordinates):
Fe: 0.929 0.929 0.214  2.72
Fe: 0.787 0.787 0.644  2.66
Co: 0.641 0.641 0.072  1.76
Co: 0.359 0.359 0.928  1.76
Fe: 0.213 0.213 0.356  2.66
Fe: 0.071 0.071 0.786  2.72
Co: 0.500 0.500 0.500  1.74

Entry 5:
First-principles (PBE-GGA) data for an optimized crystal structure of Fe5Co2, as listed in the Alexandria database.

Output
space-group type	No. 139
distance to the lowest polymorph of the same formula	4.1	meV/atom
crystal system	tetragonal

Cell lengths 10.205, 10.205, 10.205 Å; angles 163.98, 163.98, 22.73 degrees
Each line ends with the local moment (μB).
Atoms (fractional coordinates):
Fe: 0.143 0.143 0.000  2.46
Co: 0.858 0.858 0.000  1.74
Fe: 0.287 0.287 0.000  2.68
Fe: 0.429 0.429 0.000  2.81
Fe: 0.571 0.571 0.000  2.68
Fe: 0.714 0.714 0.000  2.46
Co: 0.999 0.999 0.000  1.74

Entry 6:
First-principles (PBE-GGA) data for an optimized crystal structure of Fe5Co3, as listed in the Alexandria database.

Output
space-group type	No. 166
distance to the lowest polymorph of the same formula	48.6	meV/atom
crystal system	trigonal

Cell lengths 6.954, 6.954, 6.954 Å; angles 33.69, 33.69, 33.69 degrees
Each line ends with the local moment (μB).
Atoms (fractional coordinates):
Fe: 0.876 0.876 0.876  2.65
Co: 0.250 0.250 0.250  1.79
Co: 0.625 0.625 0.625  1.84
Co: 0.000 0.000 0.000  1.79
Fe: 0.749 0.749 0.749  2.54
Fe: 0.125 0.125 0.125  2.61
Fe: 0.374 0.374 0.374  2.65
Fe: 0.501 0.501 0.501  2.54

Entry 7:
First-principles (PBE-GGA) data for an optimized crystal structure of FeCo7, as listed in the Alexandria database.

Output
space-group type	No. 229
distance to the lowest polymorph of the same formula	50.5	meV/atom
crystal system	cubic

Cell lengths 4.888, 4.888, 4.888 Å; angles 109.47, 109.47, 109.47 degrees
Each line ends with the local moment (μB).
Atoms (fractional coordinates):
Co: 0.000 0.000 0.500  1.83
Co: 0.000 0.000 0.000  1.83
Co: 0.000 0.500 0.500  1.83
Co: 0.500 0.500 0.000  1.83
Co: 0.500 0.000 0.000  1.83
Co: 0.000 0.500 0.000  1.83
Co: 0.500 0.000 0.500  1.83
Fe: 0.500 0.500 0.500  2.81

Entry 8:
First-principles (PBE-GGA) data for an optimized crystal structure of FeCo7, as listed in the Alexandria database.

Output
space-group type	No. 225
distance to the lowest polymorph of the same formula	0.0	meV/atom
crystal system	cubic

Cell lengths 5.002, 5.002, 5.002 Å; angles 60.00, 60.00, 60.00 degrees
Each line ends with the local moment (μB).
Atoms (fractional coordinates):
Co: 0.000 0.500 0.000  1.70
Co: 0.500 0.500 0.500  1.75
Co: 0.500 0.000 0.000  1.70
Co: 0.500 0.500 0.000  1.70
Co: 0.500 0.000 0.500  1.70
Co: 0.000 0.000 0.500  1.70
Fe: 0.000 0.000 0.000  2.66
Co: 0.000 0.500 0.500  1.70

Entry 9:
First-principles (PBE-GGA) data for an optimized crystal structure of Fe5Co3, as listed in the Alexandria database.

Output
space-group type	No. 139
distance to the lowest polymorph of the same formula	3.3	meV/atom
crystal system	tetragonal

Cell lengths 6.364, 6.364, 6.364 Å; angles 143.12, 143.12, 53.14 degrees
Each line ends with the local moment (μB).
Atoms (fractional coordinates):
Co: 0.250 0.250 0.000  1.74
Fe: 0.375 0.875 0.500  2.75
Fe: 0.750 0.750 0.000  2.41
Co: 0.000 0.000 0.000  1.74
Fe: 0.625 0.125 0.500  2.75
Fe: 0.125 0.625 0.500  2.75
Fe: 0.875 0.375 0.500  2.75
Co: 0.500 0.500 0.000  1.74

Entry 10:
First-principles (PBE-GGA) data for an optimized crystal structure of Fe15Co, as listed in the Alexandria database.

Output
space-group type	No. 221
distance to the lowest polymorph of the same formula	0.0	meV/atom
crystal system	cubic

Cell lengths 5.680, 5.680, 5.680 Å; angles 90.00, 90.00, 90.00 degrees
Each line ends with the local moment (μB).
Atoms (fractional coordinates):
Fe: 0.249 0.249 0.751  2.38
Fe: 0.249 0.751 0.751  2.38
Fe: 0.751 0.249 0.249  2.38
Fe: 0.249 0.249 0.249  2.38
Fe: 0.751 0.751 0.751  2.38
Fe: 0.500 0.000 0.000  2.27
Fe: 0.500 0.000 0.500  2.32
Fe: 0.751 0.751 0.249  2.38
Fe: 0.500 0.500 0.000  2.32
Fe: 0.751 0.249 0.751  2.38
Fe: 0.500 0.500 0.500  2.36
Co: 0.000 0.000 0.000  1.69
Fe: 0.000 0.000 0.500  2.27
Fe: 0.249 0.751 0.249  2.38
Fe: 0.000 0.500 0.000  2.27
Fe: 0.000 0.500 0.500  2.32

Entry 11:
First-principles (PBE-GGA) data for an optimized crystal structure of Fe7Co, as listed in the Alexandria database.

Output
space-group type	No. 10
distance to the lowest polymorph of the same formula	9.6	meV/atom
crystal system	monoclinic

Cell lengths 8.047, 2.457, 4.718 Å; angles 79.90, 90.00, 90.00 degrees
Each line ends with the local moment (μB).
Atoms (fractional coordinates):
Fe: 0.500 0.500 0.500  2.35
Co: 0.000 0.000 0.000  1.77
Fe: 0.249 0.248 0.250  2.41
Fe: 0.751 0.752 0.750  2.41
Fe: 0.500 0.000 0.000  2.31
Fe: 0.000 0.500 0.500  2.46
Fe: 0.249 0.752 0.750  2.41
Fe: 0.751 0.248 0.250  2.41

Entry 12:
First-principles (PBE-GGA) data for an optimized crystal structure of Fe7Co, as listed in the Alexandria database.

Output
space-group type	No. 65
distance to the lowest polymorph of the same formula	1.3	meV/atom
crystal system	orthorhombic

Cell lengths 6.358, 6.358, 2.851 Å; angles 90.00, 90.00, 127.15 degrees
Each line ends with the local moment (μB).
Atoms (fractional coordinates):
Fe: 0.250 0.750 0.000  2.37
Fe: 0.875 0.626 0.500  2.47
Co: 0.000 0.000 0.000  1.70
Fe: 0.750 0.250 0.000  2.37
Fe: 0.125 0.374 0.500  2.47
Fe: 0.500 0.500 0.000  2.27
Fe: 0.374 0.125 0.500  2.47
Fe: 0.626 0.875 0.500  2.47

Entry 13:
First-principles (PBE-GGA) data for an optimized crystal structure of FeCo6, as listed in the Alexandria database.

Output
space-group type	No. 12
distance to the lowest polymorph of the same formula	0.0	meV/atom
crystal system	monoclinic

Cell lengths 4.688, 4.688, 4.648 Å; angles 84.44, 84.44, 50.48 degrees
Each line ends with the local moment (μB).
Atoms (fractional coordinates):
Co: 0.428 0.428 0.276  1.79
Co: 0.144 0.144 0.438  1.79
Co: 0.005 0.005 0.006  1.77
Co: 0.857 0.857 0.575  1.74
Fe: 0.286 0.286 0.857  2.71
Co: 0.715 0.715 0.140  1.74
Co: 0.566 0.566 0.709  1.77

Entry 14:
First-principles (PBE-GGA) data for an optimized crystal structure of Fe8Co3, as listed in the Alexandria database.

Output
space-group type	No. 148
crystal system	trigonal

Cell lengths 5.273, 5.273, 5.273 Å; angles 90.52, 90.52, 90.52 degrees
Each line ends with the local moment (μB).
Atoms (fractional coordinates):
Fe: 0.108 0.901 0.314  2.82
Fe: 0.892 0.099 0.686  2.82
Co: 0.000 0.500 0.500  1.59
Fe: 0.686 0.892 0.099  2.82
Fe: 0.099 0.686 0.892  2.82
Co: 0.500 0.000 0.500  1.59
Fe: 0.901 0.314 0.108  2.82
Co: 0.500 0.500 0.000  1.59
Fe: 0.366 0.366 0.366  2.52
Fe: 0.634 0.634 0.634  2.52
Fe: 0.314 0.108 0.901  2.82

Entry 15:
First-principles (PBE-GGA) data for an optimized crystal structure of Fe4Co3, as listed in the Alexandria database.

Output
space-group type	No. 8
distance to the lowest polymorph of the same formula	47.8	meV/atom
crystal system	monoclinic

Cell lengths 8.403, 8.403, 2.467 Å; angles 84.18, 84.18, 27.56 degrees
Each line ends with the local moment (μB).
Atoms (fractional coordinates):
Co: 0.286 0.286 0.147  1.77
Fe: 0.858 0.858 0.424  2.66
Fe: 0.570 0.570 0.287  2.58
Fe: 0.143 0.143 0.576  2.51
Fe: 0.715 0.715 0.863  2.53
Co: 0.428 0.428 0.695  1.77
Co: 0.000 0.000 0.008  1.77

Entry 16:
First-principles (PBE-GGA) data for an optimized crystal structure of Fe7Co, as listed in the Alexandria database.

Output
space-group type	No. 71
distance to the lowest polymorph of the same formula	3.0	meV/atom
crystal system	orthorhombic

Cell lengths 8.425, 8.425, 8.425 Å; angles 160.59, 152.40, 33.97 degrees
Each line ends with the local moment (μB).
Atoms (fractional coordinates):
Co: 0.000 0.000 0.000  1.72
Fe: 0.375 0.875 0.500  2.32
Fe: 0.251 0.251 0.000  2.34
Fe: 0.749 0.749 0.000  2.34
Fe: 0.500 0.500 0.000  2.60
Fe: 0.625 0.125 0.500  2.32
Fe: 0.876 0.376 0.500  2.51
Fe: 0.124 0.624 0.500  2.51

Entry 17:
First-principles (PBE-GGA) data for an optimized crystal structure of Fe5Co2, as listed in the Alexandria database.

Output
space-group type	No. 127
distance to the lowest polymorph of the same formula	273.7	meV/atom
crystal system	tetragonal

Cell lengths 2.533, 8.252, 8.252 Å; angles 90.00, 90.00, 90.00 degrees
Each line ends with the local moment (μB).
Atoms (fractional coordinates):
Fe: 0.000 0.709 0.436  2.73
Fe: 0.000 0.500 0.000  2.59
Fe: 0.000 0.064 0.791  2.73
Fe: 0.000 0.000 0.500  2.59
Fe: 0.000 0.791 0.936  2.73
Fe: 0.000 0.209 0.064  2.73
Co: 0.500 0.181 0.319  1.43
Co: 0.500 0.319 0.819  1.43
Fe: 0.000 0.436 0.291  2.73
Fe: 0.000 0.564 0.709  2.73
Fe: 0.000 0.936 0.209  2.73
Co: 0.500 0.681 0.181  1.43
Fe: 0.000 0.291 0.564  2.73
Co: 0.500 0.819 0.681  1.43

Entry 18:
First-principles (PBE-GGA) data for an optimized crystal structure of Fe5Co24, as listed in the Alexandria database.

Output
space-group type	No. 217
crystal system	cubic

Cell lengths 7.496, 7.496, 7.496 Å; angles 109.47, 109.47, 109.47 degrees
Each line ends with the local moment (μB).
Atoms (fractional coordinates):
Co: 0.191 0.373 0.000  1.60
Co: 0.809 0.809 0.182  1.60
Co: 0.317 0.317 0.715  1.67
Co: 0.000 0.398 0.683  1.67
Fe: 0.000 0.636 0.000  2.75
Fe: 0.000 0.000 0.636  2.75
Co: 0.317 0.715 0.317  1.67
Co: 0.398 0.683 0.000  1.67
Co: 0.182 0.809 0.809  1.60
Co: 0.000 0.683 0.398  1.67
Co: 0.373 0.000 0.191  1.60
Co: 0.000 0.373 0.191  1.60
Co: 0.398 0.000 0.683  1.67
Co: 0.000 0.191 0.373  1.60
Co: 0.683 0.398 0.000  1.67
Co: 0.602 0.285 0.602  1.67
Fe: 0.364 0.364 0.364  2.75
Co: 0.627 0.818 0.627  1.60
Co: 0.602 0.602 0.285  1.67
Fe: 0.000 0.000 0.000  2.78
Co: 0.683 0.000 0.398  1.67
Fe: 0.636 0.000 0.000  2.75
Co: 0.715 0.317 0.317  1.67
Co: 0.627 0.627 0.818  1.60
Co: 0.285 0.602 0.602  1.67
Co: 0.818 0.627 0.627  1.60
Co: 0.809 0.182 0.809  1.60
Co: 0.373 0.191 0.000  1.60
Co: 0.191 0.000 0.373  1.60

Entry 19:
First-principles (PBE-GGA) data for an optimized crystal structure of Fe4Co3, as listed in the Alexandria database.

Output
space-group type	No. 69
distance to the lowest polymorph of the same formula	55.5	meV/atom
crystal system	orthorhombic

Cell lengths 2.466, 2.466, 14.107 Å; angles 93.32, 93.32, 109.78 degrees
Each line ends with the local moment (μB).
Atoms (fractional coordinates):
Fe: 0.856 0.856 0.713  2.58
Fe: 0.571 0.571 0.142  2.58
Fe: 0.144 0.144 0.287  2.58
Fe: 0.429 0.429 0.858  2.58
Co: 0.286 0.286 0.571  1.81
Co: 0.714 0.714 0.429  1.81
Co: 0.000 0.000 0.000  1.82

Entry 20:
First-principles (PBE-GGA) data for an optimized crystal structure of Fe2Co3, as listed in the Alexandria database.

Output
space-group type	No. 8
distance to the lowest polymorph of the same formula	313.7	meV/atom
crystal system	monoclinic

Cell lengths 3.957, 4.503, 5.982 Å; angles 41.25, 70.69, 63.93 degrees
Each line ends with the local moment (μB).
Atoms (fractional coordinates):
Co: 0.197 0.115 0.491  1.70
Fe: 0.020 0.969 0.992  2.70
Fe: 0.524 0.461 0.491  2.73
Co: 0.698 0.614 0.990  1.70
Co: 0.357 0.295 0.991  1.62

Entry 21:
First-principles (PBE-GGA) data for an optimized crystal structure of Fe2Co5, as listed in the Alexandria database.

Output
space-group type	No. 2
distance to the lowest polymorph of the same formula	23.6	meV/atom
crystal system	triclinic

Cell lengths 6.198, 6.058, 6.161 Å; angles 115.88, 119.84, 118.98 degrees
Each line ends with the local moment (μB).
Atoms (fractional coordinates):
Co: 0.121 0.544 0.262  1.76
Co: 0.621 0.339 0.193  1.77
Co: 0.450 0.742 0.881  1.76
Co: 0.286 0.143 0.571  1.77
Fe: 0.718 0.860 0.430  2.66
Fe: 0.854 0.426 0.713  2.66
Co: 0.950 0.947 0.949  1.77

Entry 22:
First-principles (PBE-GGA) data for an optimized crystal structure of Fe5Co3, as listed in the Alexandria database.

Output
space-group type	No. 65
distance to the lowest polymorph of the same formula	34.4	meV/atom
crystal system	orthorhombic

Cell lengths 4.926, 4.926, 4.031 Å; angles 90.00, 90.00, 109.33 degrees
Each line ends with the local moment (μB).
Atoms (fractional coordinates):
Co: 0.000 0.000 0.000  1.78
Fe: 0.250 0.250 0.500  2.67
Fe: 0.250 0.750 0.500  2.59
Fe: 0.500 0.000 0.000  2.68
Co: 0.500 0.500 0.000  1.78
Fe: 0.750 0.250 0.500  2.59
Co: 0.750 0.750 0.500  1.82
Fe: 0.000 0.500 0.000  2.68

Entry 23:
First-principles (PBE-GGA) data for an optimized crystal structure of FeCo6, as listed in the Alexandria database.

Output
space-group type	No. 162
distance to the lowest polymorph of the same formula	455.5	meV/atom
crystal system	trigonal

Cell lengths 4.767, 4.767, 4.401 Å; angles 90.00, 90.00, 120.00 degrees
Each line ends with the local moment (μB).
Atoms (fractional coordinates):
Co: 0.582 0.000 0.260  1.76
Co: 0.000 0.582 0.260  1.76
Co: 0.418 0.418 0.260  1.76
Co: 0.000 0.418 0.740  1.76
Fe: 0.000 0.000 0.000  2.69
Co: 0.582 0.582 0.740  1.76
Co: 0.418 0.000 0.740  1.76

Energy relative to the elements per entry: -17, -3, 14, -28, -30, -9, 46, 7, -44, -6, -8, -14, 35, 687, -2, -13, 152, 10, 4, 138, 22, -20, 343 kJ/mol of formula units
DFT total energy per entry: -7.91, -7.96, -7.26, -7.92, -8.12, -7.97, -7.22, -7.27, -8.01, -8.38, -8.30, -8.31, -7.25, -7.45, -7.88, -8.31, -7.85, -7.34, -7.88, -7.36, -7.46, -7.98, -6.79 eV per atom